Entry 1:
## KY3S4 (PBE)

Data for crystalline KY3S4 at its relaxed geometry.

```
16
Lattice="-0.9539 -3.1109 -2.2926 3.5200 1.8019 -0.4544 11.1247 -17.0611 18.5222" Properties=species:S:1:pos:R:3 pbc="T T T"
S 6.9499 -7.3830 7.1266
Y 8.8729 -10.3322 10.3284
S 2.6697 -0.8189 0.0003
Y 11.8714 -14.9308 15.3207
Y 1.8193 -3.4393 0.4545
S 1.8880 -2.8954 3.1434
Y 5.5623 -8.5305 9.2611
S 3.6744 -5.6351 6.1177
S 7.4503 -11.4260 12.4045
Y 0.0000 0.0000 0.0000
S 9.2367 -14.1656 15.3788
Y 4.8178 -8.0378 5.4469
K 8.8809 -14.2691 12.2118
S 11.0210 -17.5512 15.7750
S 6.7408 -10.9870 8.6486
K 4.8098 -4.1010 3.5634
```

Results
Formation energy from raw total energies: -15.5 eV/f.u.
Total DFT energy (no corrections): -6.5592 eV per atom
Symmetry: No. 194
Theoretical density: 3.82 g/cm³
Magnetization: 0.0 μB per formula unit
D(E_F): 3.27 states/eV/f.u.

=====

Entry 2:
## Zr2Ga8Pd (PBE)

Data for crystalline Zr2Ga8Pd at its relaxed geometry.

```
11
Lattice="4.2553 0.0000 0.0000 0.0000 4.2553 0.0000 0.0000 0.0000 10.7635" Properties=species:S:1:pos:R:3 pbc="T T T"
Ga 0.0000 2.1276 1.4387
Pd 0.0000 0.0000 0.0000
Ga 2.1276 2.1276 3.3572
Ga 2.1276 0.0000 1.4387
Ga 2.1276 0.0000 5.3817
Ga 0.0000 2.1276 9.3247
Ga 2.1276 0.0000 9.3247
Ga 0.0000 2.1276 5.3817
Ga 2.1276 2.1276 7.4063
Zr 0.0000 0.0000 3.4051
Zr 0.0000 0.0000 7.3584
```

Results
Total DFT energy (no corrections): -4.6671 eV per atom
Symmetry: No. 123
Energy of formation from the pure elements: -439 meV per atom
Theoretical density: 7.21 g/cm³
Magnetization: 0.0 μB per formula unit
D(E_F): 3.40 states/eV/f.u.

=====

Entry 3:
## BaZnInAs2 (PBE)

Data for crystalline BaZnInAs2 at its relaxed geometry.

```
10
Lattice="5.0340 0.0000 0.0000 -2.5170 6.5124 0.0322 0.0000 -1.5561 8.9267" Properties=species:S:1:pos:R:3 pbc="T T T"
In 0.0000 0.3251 1.9747
In 2.5170 4.6313 6.9842
Ba 0.0000 3.8929 2.7380
Zn 2.5170 1.9417 0.6518
Zn 0.0000 3.0147 8.3071
As 0.0000 3.9982 6.0154
As 0.0000 0.4085 8.5017
Ba 2.5170 1.0635 6.2209
As 2.5170 4.5479 0.4572
As 2.5170 0.9582 2.9435
```

Results
Total DFT energy (no corrections): -3.5377 eV per atom
Symmetry: No. 12
Energy of formation from the pure elements: -491 meV per atom
Theoretical density: 5.30 g/cm³
Magnetization: 0.0 μB per formula unit
D(E_F): 0.95 states/eV/f.u.

=====

Entry 4:
## Er4AgPd7 (PBE)

Data for crystalline Er4AgPd7 at its relaxed geometry.

```
12
Lattice="5.1813 0.0000 0.0000 2.5907 8.9725 -0.1266 2.5907 0.2481 5.3341" Properties=species:S:1:pos:R:3 pbc="T T T"
Er 7.7720 5.8917 4.1130
Pd 2.5907 6.2038 0.7709
Pd 7.7720 3.0167 4.4365
Pd 2.5907 0.0000 0.0000
Pd 2.5907 0.9770 2.5833
Pd 7.7720 8.2436 2.6242
Ag 0.0000 0.0000 0.0000
Pd 5.1813 4.3920 1.3000
Pd 5.1813 4.8285 3.9074
Er 5.1813 2.0333 3.1596
Er 2.5907 3.3288 1.0945
Er 5.1813 7.1873 2.0478
```

Results
Offset from the most stable computed form: 175 meV/atom
Total DFT energy (no corrections): -5.4050 eV per atom
Symmetry: No. 12
Energy of formation from the pure elements: -617 meV per atom
Theoretical density: 10.18 g/cm³
Magnetization: 0.0 μB per formula unit
D(E_F): 4.91 states/eV/f.u.

=====

Entry 5:
## ScCuGe (PBE)

Data for crystalline ScCuGe at its relaxed geometry.

```
6
Lattice="-2.5831 4.0918 -4.5523 -3.6008 -1.7228 0.4953 -0.2946 1.7050 3.7793" Properties=species:S:1:pos:R:3 pbc="T T T"
Cu -2.4858 3.2043 -0.9417
Ge -1.3689 0.8650 -0.9387
Cu -0.8007 0.3986 1.5428
Sc -3.5778 1.3004 0.8469
Ge -4.3228 2.0328 -2.0371
Sc -5.1982 4.2224 -0.7815
```

Results
Total DFT energy (no corrections): -5.3884 eV per atom
Symmetry: No. 6
Energy of formation from the pure elements: -373 meV per atom
Theoretical density: 5.77 g/cm³
Magnetization: 0.0 μB per formula unit
D(E_F): 1.38 states/eV/f.u.

=====

Entry 6:
## LiPrTmAg (PBE)

Data for crystalline LiPrTmAg at its relaxed geometry.

```
4
Lattice="-3.8411 -3.5549 -0.3297 -0.7677 -2.6233 -4.4754 1.1685 -5.1045 -0.2808" Properties=species:S:1:pos:R:3 pbc="T T T"
Ag -0.8601 -2.8207 -1.2715
Tm -1.7202 -5.6413 -2.5429
Pr 0.0000 0.0000 0.0000
Li -2.5803 -8.4620 -3.8144
```

Results
Total DFT energy (no corrections): -3.5759 eV per atom
Symmetry: No. 216
Energy of formation from the pure elements: -72 meV per atom
Theoretical density: 6.92 g/cm³
Magnetization: 0.0 μB per formula unit
D(E_F): 4.60 states/eV/f.u.

=====

Entry 7:
## Np5UN6 (PBE)

Data for crystalline Np5UN6 at its relaxed geometry.

```
12
Lattice="-4.3928 -3.4660 -2.0514 2.0019 -5.5752 -0.6466 -0.4168 -3.8586 4.5222" Properties=species:S:1:pos:R:3 pbc="T T T"
N -2.7595 -7.4933 1.2187
Np -0.6697 -7.6672 -0.0483
Np -2.1380 -5.2327 1.8725
N -0.6009 -2.2404 -0.6710
N -1.7900 -6.8009 -2.0270
N -0.0481 -5.4067 0.6056
Np 0.5287 -3.1443 1.2906
N -3.2788 -4.3418 -0.1043
N 0.4712 -8.5581 1.9285
Np -1.1954 -4.5206 -1.3490
Np 1.0564 -6.2895 2.5850
U 0.0000 0.0000 0.0000
```

Results
Formation energy from raw total energies: -13.8 eV/f.u.
Total DFT energy (no corrections): -11.6439 eV per atom
Symmetry: No. 12
Theoretical density: 14.49 g/cm³
Magnetization: 16.3 μB per formula unit
D(E_F): 25.17 states/eV/f.u.

=====

Entry 8:
## La2Y2Hg3 (PBE)

Data for crystalline La2Y2Hg3 at its relaxed geometry.

```
7
Lattice="-4.6754 1.3259 1.9925 2.6873 -4.0214 2.0484 6.1584 5.9416 3.5736" Properties=species:S:1:pos:R:3 pbc="T T T"
Y -1.7047 0.2628 2.7459
La 1.5321 2.1340 2.1745
Hg 3.0177 4.2036 4.2788
Hg 1.1526 -0.9575 3.3357
Y 5.8750 2.9833 4.8686
La 2.6382 1.1121 5.4400
Hg 0.0000 0.0000 0.0000
```

Results
Total DFT energy (no corrections): -3.7346 eV per atom
Symmetry: No. 12
Energy of formation from the pure elements: -351 meV per atom
Theoretical density: 8.39 g/cm³
Magnetization: 0.5 μB per formula unit
D(E_F): 10.01 states/eV/f.u.